Material: Tm12Ni6Hg
Method: DFT, PBE
State: optimized geometry

For the formation energy, the calculation gives -8.7 kcal/mol of atoms. As for the total energy: -5.045 eV per atom. For the energy relative to the lowest polymorph listed for this composition, the calculation gives 0.00 eV per formula unit.

The space group is Im-3 (No. 204) and the conventional cell measures 9.526, 9.526 and 9.526 Å, with angles of 90.00, 90.00 and 90.00 degrees. The inequivalent atoms are Tm at (0.000, 0.187, 0.301), Ni at (0.000, 0.376, 0.500) and Hg at (0.000, 0.000, 0.000).